# MgSiBiSe2

An optimized crystal structure of MgSiBiSe2 (GGA-PBEsol, the Alexandria database).

```
5
Lattice="-3.434 0.812 3.329 3.000 -1.564 3.477 1.899 5.188 0.694" Properties=species:S:1:pos:R:3 pbc="T T T"
Mg 0.000 0.000 0.000
Si 0.733 2.218 3.750
Bi 0.950 2.594 0.347
Se 1.500 -0.782 1.738
Se -1.717 0.406 1.664
```

Properties
Its density of states at the Fermi level is 0.91 states/eV per atom. As for the symmetry: P4/mmm (123). The calculated volume comes out at 26.2 Å³/atom. As for the calculated total energy: -3.350 eV per atom.